This record from Alexandria describes a relaxed CaNp2Te4 crystal. The functional is GGA-PBE.

The structure in POSCAR format:
```
CaNp2Te4
1.0
-0.4306 3.8559 2.1402
5.6328 -0.4659 6.5627
7.2369 1.8061 -1.7971
Te Ca Np
4 1 2
direct
0.1267 0.7462 0.4536
0.8733 0.2538 0.5464
0.3648 0.2703 0.0155
0.6352 0.7297 0.9845
0.0000 0.0000 0.0000
0.7394 0.5210 0.7314
0.2606 0.4790 0.2686
```

Summary:
Total magnetization   8.0 μB per cell
Calculated total energy   -46.608 eV per formula unit
Raw formation energy   -0.880 eV/atom

***

This record from Alexandria describes a relaxed CaNpTl2Te4 crystal. The functional is GGA-PBE.

The structure in POSCAR format:
```
CaNpTl2Te4
1.0
4.5398 0.0000 0.0000
0.0000 8.4794 -0.6941
0.0000 2.9666 7.1910
Tl Te Ca Np
2 4 1 1
direct
0.0000 0.0000 0.0000
0.5000 0.0000 0.5000
0.0000 0.2843 0.2520
0.5000 0.2864 0.7266
0.5000 0.7136 0.2734
0.0000 0.7157 0.7480
0.5000 0.5000 0.0000
0.0000 0.5000 0.5000
```

Summary:
Total magnetization   3.0 μB per cell
Calculated total energy   -38.329 eV per formula unit
Raw formation energy   -0.761 eV/atom

***

This record from Alexandria describes a relaxed Ca3Y2NpTe6 crystal. The functional is GGA-PBE.

The structure in POSCAR format:
```
Ca3Y2NpTe6
1.0
-3.9500 -1.0835 -1.6101
3.6676 -6.9148 -4.3446
-0.5555 -3.1066 9.4683
Ca Y Te Np
3 2 6 1
direct
0.1661 0.8311 0.3321
0.8339 0.1689 0.6679
0.5000 0.5000 0.0000
0.8363 0.6730 0.6726
0.1637 0.3270 0.3274
0.6677 0.0850 0.3355
0.0002 0.2510 0.0005
0.9998 0.7490 0.9995
0.3323 0.9150 0.6645
0.3306 0.4217 0.6611
0.6694 0.5783 0.3389
0.5000 0.0000 0.0000
```

Summary:
Total magnetization   5.1 μB per cell
Calculated total energy   -66.639 eV per formula unit
Raw formation energy   -1.326 eV/atom

***

This record from Alexandria describes a relaxed CaNpTl2 crystal. The functional is GGA-PBE.

The structure in POSCAR format:
```
CaNpTl2
1.0
-1.3508 -3.2296 -0.0945
5.0572 -2.1564 1.4063
-1.3551 0.4060 5.4956
Tl Np Ca
2 1 1
direct
0.0000 0.0000 0.5000
0.0000 0.5000 0.0000
0.5000 0.0000 0.0000
0.5000 0.5000 0.5000
```

Summary:
Total magnetization   4.6 μB per cell
Calculated formation energy   0.05 eV/atom
Calculated total energy   -19.486 eV per formula unit

***

This record from Alexandria describes a relaxed CaO4 crystal. The functional is GGA-PBE.

The structure in POSCAR format:
```
CaO4
1.0
-4.3851 -1.3042 0.4110
1.0335 -2.2568 3.8650
-0.8954 3.7823 2.4479
O Ca
4 1
direct
0.5000 0.0000 0.5000
0.0000 0.5000 0.5000
0.0000 0.0000 0.0000
0.5000 0.5000 0.0000
0.5000 0.5000 0.5000
```

Summary:
Total magnetization   6.0 μB per cell
Energy above the most stable polymorph in this dataset   1.435 eV/atom
Calculated total energy   -20.158 eV per formula unit
Raw formation energy   0.335 eV/atom

***

This record from Alexandria describes a relaxed Ca3O crystal. The functional is GGA-PBE.

The structure in POSCAR format:
```
Ca3O
1.0
-0.6428 -3.1861 -0.3850
3.3335 -1.2928 5.1343
-5.6947 2.7599 0.5802
O Ca
1 3
direct
0.0000 0.0438 0.0000
0.3470 0.7409 0.6939
0.6530 0.0470 0.3061
0.5000 0.3350 0.0000
```

Summary:
Total magnetization   0.0 μB per cell
Calculated total energy   -15.794 eV per formula unit
Raw formation energy   -1.208 eV/atom

***

This record from Alexandria describes a relaxed CaO2 crystal. The functional is GGA-PBE.

The structure in POSCAR format:
```
CaO2
1.0
-0.4645 0.0177 -3.6585
-0.4684 -3.3973 -1.8158
-6.4132 0.3177 -1.0429
Ca O
2 4
direct
0.6413 0.2500 0.7500
0.3587 0.7500 0.2500
0.8864 0.5979 0.9115
0.6042 0.0979 0.4115
0.1136 0.4021 0.0885
0.3958 0.9021 0.5885
```

Summary:
Total magnetization   0.0 μB per cell
Calculated total energy   -17.857 eV per formula unit
Raw formation energy   -1.980 eV/atom

***

This record from Alexandria describes a relaxed CaO4 crystal. The functional is GGA-PBE.

The structure in POSCAR format:
```
CaO4
1.0
-0.3477 -2.6668 1.8258
1.3943 -1.7859 -2.3430
6.6270 1.3456 3.2273
O Ca
4 1
direct
0.5000 0.0708 0.4245
0.0000 0.4933 0.8981
0.5000 0.9292 0.5755
0.0000 0.5067 0.1019
0.5000 0.0000 0.0000
```

Summary:
Total magnetization   2.0 μB per cell
Energy above the most stable polymorph in this dataset   0.000 eV/atom
Calculated total energy   -27.332 eV per formula unit
Raw formation energy   -1.099 eV/atom

***

> total magnetization of number 7 (CaO2)?

0.0 μB per cell